No. 1
A plane-wave DFT calculation with PBE was carried out for crystalline LaBW2 at its relaxed geometry.

```
8
Lattice="-2.971 2.971 5.190 2.971 -2.971 5.190 2.971 2.971 -5.190" Properties=species:S:1:pos:R:3 pbc="T T T"
La 2.971 1.486 1.298
La 0.000 1.486 3.893
B 2.971 -1.486 3.893
B 0.000 4.457 1.298
W 0.000 0.000 0.000
W 1.486 1.486 -2.595
W 1.486 -1.486 2.595
W 0.000 2.971 0.000
```

Calculated values
Calculated formation energy ... 1051 meV per atom

=====

No. 2
A plane-wave DFT calculation with PBE was carried out for crystalline Ba2CdPb2 at its relaxed geometry.

```
10
Lattice="8.378 0.000 0.000 0.000 8.378 0.000 0.000 0.000 5.441" Properties=species:S:1:pos:R:3 pbc="T T T"
Ba 1.385 2.804 0.000
Ba 2.804 6.993 0.000
Ba 5.574 1.385 0.000
Ba 6.993 5.574 0.000
Cd 0.000 0.000 2.721
Cd 4.189 4.189 2.721
Pb 1.150 5.339 2.721
Pb 3.039 1.150 2.721
Pb 5.339 7.228 2.721
Pb 7.228 3.039 2.721
```

Calculated values
Calculated formation energy ... -418 meV per atom
Polymorph energy (0 for the lowest one) ... 2.19 kcal/mol of atoms

=====

No. 3
A plane-wave DFT calculation with PBE was carried out for crystalline Cs2LaAg3F12 at its relaxed geometry.

```
18
Lattice="4.100 2.367 6.298 -4.100 2.367 6.298 0.000 -4.734 6.298" Properties=species:S:1:pos:R:3 pbc="T T T"
Cs 0.000 0.000 2.281
Cs 0.000 0.000 16.612
La 0.000 0.000 9.447
Ag -2.050 -1.183 6.298
Ag -2.050 1.183 12.596
Ag 0.000 2.367 6.298
F -1.885 -1.088 8.511
F 0.000 -1.774 6.338
F -1.536 0.887 6.338
F 0.000 -2.177 10.382
F -1.885 1.088 10.382
F -1.536 -0.887 12.556
F 1.536 0.887 6.338
F 1.885 -1.088 8.511
F 0.000 2.177 8.511
F 1.536 -0.887 12.556
F 0.000 1.774 12.556
F 1.885 1.088 10.382
```

Calculated values
Formation energy without anion corrections ... -2153 meV/atom

=====

No. 4
A plane-wave DFT calculation with PBE was carried out for crystalline KMg4Pb2 at its relaxed geometry.

```
14
Lattice="9.133 0.000 0.000 0.000 9.133 0.000 0.000 0.000 4.820" Properties=species:S:1:pos:R:3 pbc="T T T"
K 0.000 0.000 0.000
K 4.566 4.566 2.410
Mg 0.802 3.127 2.410
Mg 1.439 5.369 0.000
Mg 3.127 0.802 2.410
Mg 3.764 7.694 0.000
Mg 5.369 1.439 0.000
Mg 6.006 8.331 2.410
Mg 7.694 3.764 0.000
Mg 8.331 6.006 2.410
Pb 2.030 7.103 2.410
Pb 2.536 2.536 0.000
Pb 6.597 6.597 0.000
Pb 7.103 2.030 2.410
```

Calculated values
Calculated formation energy ... -84 meV per atom
Polymorph energy (0 for the lowest one) ... 0.00 kcal/mol of atoms

=====

No. 5
A plane-wave DFT calculation with PBE was carried out for crystalline LiY2Tl3 at its relaxed geometry.

```
12
Lattice="5.242 0.000 0.000 -2.621 4.539 0.000 0.000 0.000 13.010" Properties=species:S:1:pos:R:3 pbc="T T T"
Li 0.000 3.026 2.070
Li 2.621 1.513 10.940
Y 0.000 0.000 0.000
Y 0.000 0.000 6.505
Y 0.000 3.026 8.804
Y 2.621 1.513 4.206
Tl 0.000 0.000 3.173
Tl 0.000 0.000 9.837
Tl 0.000 3.026 5.339
Tl 0.000 3.026 11.965
Tl 2.621 1.513 1.045
Tl 2.621 1.513 7.671
```

Calculated values
Calculated formation energy ... -334 meV per atom
Polymorph energy (0 for the lowest one) ... 0.00 kcal/mol of atoms

=====

No. 6
A plane-wave DFT calculation with PBE was carried out for crystalline Ho4ErMg2 at its relaxed geometry.

```
7
Lattice="2.700 1.559 7.940 -2.700 1.559 7.940 0.000 -3.117 7.940" Properties=species:S:1:pos:R:3 pbc="T T T"
Ho 0.000 0.000 1.747
Ho 0.000 0.000 8.234
Ho 0.000 0.000 15.587
Ho 0.000 0.000 22.074
Er 0.000 0.000 11.910
Mg 0.000 0.000 5.023
Mg 0.000 0.000 18.798
```

Calculated values
Calculated formation energy ... -16 meV per atom
Polymorph energy (0 for the lowest one) ... 0.00 kcal/mol of atoms

=====

No. 7
A plane-wave DFT calculation with PBE was carried out for crystalline Ce5N4Cl at its relaxed geometry.

```
10
Lattice="6.075 -1.804 0.000 6.075 1.804 0.000 -4.540 0.000 7.885" Properties=species:S:1:pos:R:3 pbc="T T T"
Ce 0.000 0.000 0.000
Ce -1.177 0.000 6.461
Ce 1.916 0.000 4.891
Ce 5.695 0.000 2.994
Ce 8.787 0.000 1.424
N 1.081 0.000 2.308
N 4.424 0.000 0.770
N 3.186 0.000 7.115
N 6.529 0.000 5.577
Cl -2.270 0.000 3.942
```

Calculated values
Formation energy without anion corrections ... -1482 meV/atom

=====

No. 8
A plane-wave DFT calculation with PBE was carried out for crystalline La3Np2Se8 at its relaxed geometry.

```
13
Lattice="7.506 -4.246 0.000 7.506 4.246 0.000 -2.546 0.000 6.754" Properties=species:S:1:pos:R:3 pbc="T T T"
La 0.000 0.000 0.000
La 6.233 2.014 3.377
La 6.233 -2.014 3.377
Np 1.802 0.000 5.681
Np 10.665 0.000 1.073
Se 5.316 2.289 0.547
Se 0.717 0.000 2.961
Se 7.151 2.289 6.207
Se 4.256 0.000 4.317
Se 8.211 0.000 2.437
Se 5.316 -2.289 0.547
Se 11.750 0.000 3.793
Se 7.151 -2.289 6.207
```

Calculated values
Formation energy without anion corrections ... -1491 meV/atom

=====

- What is the formula in the third record?
  Cs2LaAg3F12